1.
Compound: Np2Ga6Rh
Source: Alexandria
Functional: PBE
Structure: optimized geometry

a b c (Å): 4.959 8.404 6.525
angles (deg): 130.09 117.37 90.00
Site moments in Bohr magnetons follow the coordinates.
Fractional coordinates of all 9 atoms:
Ga: 0.924 0.559 0.703  0.00
Ga: 0.076 0.855 0.297  0.00
Ga: 0.500 0.148 0.000  -0.02
Ga: 0.500 0.852 0.000  -0.02
Ga: 0.924 0.145 0.703  0.00
Ga: 0.076 0.441 0.297  0.00
Np: 0.542 0.634 0.268  2.85
Np: 0.458 0.366 0.732  2.85
Rh: 0.000 0.000 0.000  -0.07

Computed properties:
D(E_F), states/eV/cell: 12.63
Calculated total energy, eV for the cell shown: -52.49
Theoretical density, g/cm3: 9.94


2.
Compound: K5AlGa4
Source: Alexandria
Functional: PBE
Structure: optimized geometry

a b c (Å): 4.302 8.947 10.981
angles (deg): 112.02 101.30 90.00
Fractional coordinates of all 10 atoms:
Al: 0.500 0.000 0.000
K: 0.198 0.797 0.396
K: 0.140 0.289 0.281
K: 0.802 0.203 0.604
K: 0.500 0.500 0.000
K: 0.860 0.711 0.719
Ga: 0.615 0.957 0.230
Ga: 0.385 0.043 0.770
Ga: 0.965 0.143 0.931
Ga: 0.035 0.857 0.069

Computed properties:
D(E_F), states/eV/cell: 5.20
Calculated total energy, eV for the cell shown: -21.63
Theoretical density, g/cm3: 2.17